Entry 1:
{
  "formula": "InAsOs2",
  "functional": "PBEsol",
  "state": "optimized geometry",
  "dos_ef_per_ev_cell": 2.46,
  "e_above_lowest_polymorph_mev_per_atom": 327,
  "formation_energy_kj_per_mol_atoms": 57.9,
  "crystal_system": "orthorhombic",
  "sg": "Immm (71)",
  "lattice": [[-2.226, 1.913, -0.141], [-1.690, -1.644, 4.371], [4.398, 2.858, -0.046]],
  "species": ["As", "Os", "Os", "In"],
  "fractional_positions": [[0.500, 0.000, 0.000], [0.776, 0.776, 0.553], [0.224, 0.224, 0.447], [0.000, 0.500, 0.000]]
}

=====

Entry 2:
{
  "formula": "In2AsP",
  "functional": "PBEsol",
  "state": "optimized geometry",
  "dos_ef_per_ev_cell": 0.27,
  "e_above_lowest_polymorph_mev_per_atom": 0,
  "formation_energy_kj_per_mol_atoms": -18.6,
  "crystal_system": "tetragonal",
  "sg": "I-42d (122)",
  "lattice": [[5.974, 0.000, 0.000], [0.000, 5.974, 0.000], [-2.987, -2.987, 5.967]],
  "species": ["P", "P", "As", "As", "In", "In", "In", "In"],
  "fractional_positions": [[0.750, 0.250, 0.500], [0.500, 0.500, 0.000], [0.250, 0.750, 0.500], [0.000, 0.000, 0.000], [0.386, 0.875, 0.250], [0.864, 0.375, 0.250], [0.125, 0.136, 0.750], [0.625, 0.614, 0.750]]
}

=====

Entry 3:
{
  "formula": "InAsP",
  "functional": "PBEsol",
  "state": "optimized geometry",
  "dos_ef_per_ev_cell": 1.60,
  "formation_energy_kj_per_mol_atoms": 31.7,
  "crystal_system": "orthorhombic",
  "sg": "Fmm2 (42)",
  "lattice": [[-3.000, 0.801, 0.511], [0.909, -2.776, 1.171], [2.893, 4.105, 5.118]],
  "species": ["P", "As", "In"],
  "fractional_positions": [[0.352, 0.352, 0.704], [0.974, 0.974, 0.947], [0.674, 0.674, 0.348]]
}

=====

Entry 4:
{
  "formula": "In2AsP",
  "functional": "PBEsol",
  "state": "optimized geometry",
  "dos_ef_per_ev_cell": 0.16,
  "e_above_lowest_polymorph_mev_per_atom": 4,
  "formation_energy_kj_per_mol_atoms": -18.2,
  "crystal_system": "trigonal",
  "sg": "R3m (160)",
  "lattice": [[-1.425, 1.906, -3.487], [-2.063, -2.230, -2.932], [-7.140, 1.240, 1.041]],
  "species": ["P", "As", "In", "In"],
  "fractional_positions": [[0.625, 0.625, 0.124], [0.125, 0.125, 0.626], [0.998, 0.998, 0.007], [0.502, 0.502, 0.493]]
}

=====

Entry 5:
{
  "formula": "In2AsPb",
  "functional": "PBEsol",
  "state": "optimized geometry",
  "dos_ef_per_ev_cell": 1.63,
  "e_above_lowest_polymorph_mev_per_atom": 0,
  "formation_energy_kj_per_mol_atoms": -1.5,
  "crystal_system": "trigonal",
  "sg": "R-3m (166)",
  "lattice": [[-0.380, 3.915, -0.476], [-0.704, 2.317, 3.136], [7.193, 2.940, 1.946]],
  "species": ["Pb", "As", "In", "In"],
  "fractional_positions": [[0.500, 0.500, 0.500], [0.000, 0.000, 0.000], [0.264, 0.264, 0.207], [0.736, 0.736, 0.793]]
}

=====

Entry 6:
{
  "formula": "InAsPb2",
  "functional": "PBEsol",
  "state": "optimized geometry",
  "dos_ef_per_ev_cell": 2.05,
  "e_above_lowest_polymorph_mev_per_atom": 34,
  "formation_energy_kj_per_mol_atoms": 7.2,
  "crystal_system": "trigonal",
  "sg": "R-3m (166)",
  "lattice": [[-3.886, -0.992, -0.368], [-1.230, -3.713, 0.959], [-3.019, 0.803, 7.688]],
  "species": ["Pb", "Pb", "As", "In"],
  "fractional_positions": [[0.240, 0.240, 0.281], [0.760, 0.760, 0.719], [0.500, 0.500, 0.500], [0.000, 0.000, 0.000]]
}

=====

Entry 7:
{
  "formula": "In2AsPb",
  "functional": "PBEsol",
  "state": "optimized geometry",
  "dos_ef_per_ev_cell": 1.84,
  "e_above_lowest_polymorph_mev_per_atom": 47,
  "formation_energy_kj_per_mol_atoms": 3.0,
  "crystal_system": "orthorhombic",
  "sg": "Immm (71)",
  "lattice": [[-2.101, -3.084, -0.562], [4.180, -2.702, -0.796], [-0.780, 1.779, 5.820]],
  "species": ["Pb", "As", "In", "In"],
  "fractional_positions": [[0.500, 0.000, 0.000], [0.000, 0.500, 0.000], [0.713, 0.713, 0.427], [0.287, 0.287, 0.573]]
}

=====

Entry 8:
{
  "formula": "InAsPb2",
  "functional": "PBEsol",
  "state": "optimized geometry",
  "dos_ef_per_ev_cell": 2.15,
  "e_above_lowest_polymorph_mev_per_atom": 29,
  "formation_energy_kj_per_mol_atoms": 6.7,
  "crystal_system": "monoclinic",
  "sg": "P2/m (10)",
  "lattice": [[3.769, 0.000, 0.301], [0.000, 3.770, 0.000], [-0.563, 0.000, 7.313]],
  "species": ["Pb", "Pb", "As", "In"],
  "fractional_positions": [[0.000, 0.000, 0.780], [0.000, 0.000, 0.220], [0.500, 0.500, 0.000], [0.500, 0.500, 0.500]]
}

=====

Entry 9:
{
  "formula": "In2AsPb",
  "functional": "PBEsol",
  "state": "optimized geometry",
  "dos_ef_per_ev_cell": 1.70,
  "e_above_lowest_polymorph_mev_per_atom": 106,
  "formation_energy_kj_per_mol_atoms": 8.7,
  "crystal_system": "monoclinic",
  "sg": "P2/m (10)",
  "lattice": [[3.284, 0.000, -0.006], [0.000, 4.883, 0.000], [-1.387, 0.000, 6.183]],
  "species": ["Pb", "As", "In", "In"],
  "fractional_positions": [[0.500, 0.500, 0.000], [0.500, 0.500, 0.500], [0.900, 0.000, 0.730], [0.100, 0.000, 0.270]]
}

=====

Entry 10:
{
  "formula": "In2AsPb",
  "functional": "PBEsol",
  "state": "optimized geometry",
  "dos_ef_per_ev_cell": 1.99,
  "e_above_lowest_polymorph_mev_per_atom": 57,
  "formation_energy_kj_per_mol_atoms": 4.0,
  "crystal_system": "tetragonal",
  "sg": "P4mm (99)",
  "lattice": [[-2.108, -1.026, -3.081], [3.246, -0.768, -1.965], [-0.158, -6.363, 2.227]],
  "species": ["Pb", "As", "In", "In"],
  "fractional_positions": [[0.000, 0.000, 0.482], [0.500, 0.500, 0.820], [0.000, 0.000, 0.963], [0.500, 0.500, 0.236]]
}

=====

Entry 11:
{
  "formula": "InAsPb2",
  "functional": "PBEsol",
  "state": "optimized geometry",
  "dos_ef_per_ev_cell": 1.82,
  "e_above_lowest_polymorph_mev_per_atom": 0,
  "formation_energy_kj_per_mol_atoms": 3.9,
  "crystal_system": "orthorhombic",
  "sg": "Imm2 (44)",
  "lattice": [[3.809, 0.000, 0.000], [0.000, 5.257, 0.000], [-1.905, -2.629, 5.202]],
  "species": ["Pb", "Pb", "As", "In"],
  "fractional_positions": [[0.008, 0.008, 0.016], [0.214, 0.714, 0.428], [0.493, 0.493, 0.986], [0.785, 0.285, 0.571]]
}

=====

Entry 12:
{
  "formula": "InAsPd5",
  "functional": "PBEsol",
  "state": "optimized geometry",
  "dos_ef_per_ev_cell": 1.03,
  "formation_energy_kj_per_mol_atoms": -49.4,
  "crystal_system": "tetragonal",
  "sg": "P4/mmm (123)",
  "lattice": [[-3.097, 2.240, 1.116], [-2.330, -3.229, 0.013], [1.596, -1.125, 6.686]],
  "species": ["As", "Pd", "Pd", "Pd", "Pd", "Pd", "In"],
  "fractional_positions": [[0.000, 0.000, 0.500], [0.000, 0.000, 0.000], [0.500, 0.000, 0.712], [0.000, 0.500, 0.712], [0.500, 0.000, 0.288], [0.000, 0.500, 0.288], [0.500, 0.500, 0.000]]
}